Crystalline BeSnMoO2 at its relaxed geometry. Source: Alexandria via LeMat-Bulk, functional GGA+U.

Cell lengths 3.648, 3.648, 5.373 Å; angles 90.00, 90.00, 90.00 degrees
Sites, in units of the cell vectors:
Be 0.000 0.000 0.000
Sn 0.000 0.000 0.500
Mo 0.500 0.500 0.500
O 0.000 0.500 0.000
O 0.500 0.000 0.000

## Properties
VASP energy in eV per atom: -4.4862
Total magnetization in μB per formula unit: 0.000
Crystal system: tetragonal